# 1
Here is a relaxed NaSrSn crystal from Alexandria. Energies are from PBE-GGA.

Output
DOS(E_F) ... 0.586 states/eV/atom
Calculated total energy ... -0.1988 Ry per atom
Relative energy among the computed polymorphs ... 0.125 eV/f.u.
Energy relative to the elements ... -370 meV per atom

abc: 5.3941 5.3941 3.8804
angles: 90.00 90.00 120.00
Space group P-6m2 (No. 187)
Symmetry-distinct sites (fractional):
1 Na 0.0000 0.0000 0.0000 (multiplicity 1)
2 Sr 0.6667 0.3333 0.5000 (multiplicity 1)
3 Sn 0.3333 0.6667 0.0000 (multiplicity 1)


# 2
Here is a relaxed Ba3NpBe2O6 crystal from Alexandria. Energies are from PBE-GGA.

Output
DOS(E_F) ... 0.972 states/eV/atom
Calculated total energy ... -0.5252 Ry per atom
Formation energy from raw total energies ... -239.9 kJ/mol of atoms

abc: 5.7969 5.7969 7.5198
angles: 90.00 90.00 120.00
Space group P-3m1 (No. 164)
Symmetry-distinct sites (fractional):
1 Ba 0.0000 0.0000 0.0000 (multiplicity 1)
2 Ba 0.3333 0.6667 0.6937 (multiplicity 2)
3 Np 0.0000 0.0000 0.5000 (multiplicity 1)
4 Be 0.3333 0.6667 0.2808 (multiplicity 2)
5 O 0.1785 0.3571 0.3155 (multiplicity 6)